# InFeO3

InFeO3 after structural relaxation (GGA-PBEsol, Alexandria via LeMat-Bulk).

theoretical density	6.52	g/cm3
ΔE_f (raw)	-1360	meV per atom
total magnetic moment	2.70	μB per formula unit

The structure in CIF format:
```
data_InFeO3
_symmetry_space_group_name_H-M 'P 63/m m c'
_symmetry_Int_Tables_number 194
_symmetry_space_group_name_Hall '-P 6c 2c'
_cell_length_a 3.2990
_cell_length_b 3.2990
_cell_length_c 11.8134
_cell_angle_alpha 90.00
_cell_angle_beta 90.00
_cell_angle_gamma 120.00
loop_
_atom_site_label
_atom_site_type_symbol
_atom_site_fract_x
_atom_site_fract_y
_atom_site_fract_z
In1 In 0.0000 0.0000 0.0000
Fe1 Fe 0.3333 0.6667 0.2500
O1 O 0.0000 0.0000 0.2500
O2 O 0.3333 0.6667 0.0891
```

# InFe2Os

InFe2Os after structural relaxation (GGA-PBEsol, Alexandria via LeMat-Bulk).

theoretical density	12.50	g/cm3
DFT formation energy	0.27	eV/atom
total magnetic moment	4.36	μB per formula unit

The structure in CIF format:
```
data_InFe2Os
_symmetry_space_group_name_H-M 'P 4 m m'
_symmetry_Int_Tables_number 99
_symmetry_space_group_name_Hall 'P 4 -2'
_cell_length_a 2.9121
_cell_length_b 2.9121
_cell_length_c 6.5274
_cell_angle_alpha 90.00
_cell_angle_beta 90.00
_cell_angle_gamma 90.00
loop_
_atom_site_label
_atom_site_type_symbol
_atom_site_fract_x
_atom_site_fract_y
_atom_site_fract_z
In1 In 0.0000 0.0000 0.0000
Fe1 Fe 0.0000 0.0000 0.5283
Fe2 Fe 0.5000 0.5000 0.7223
Os1 Os 0.5000 0.5000 0.3085
```